CsVPbF6 | PBE with a Hubbard U | relaxed

a = 5.488 Å, b = 5.957 Å, c = 6.083 Å
α = 61.08°, β = 88.93°, γ = 89.48°
Fractional coordinates of all 9 atoms:
Cs 0.000 0.000 0.000
V 0.618 0.681 0.634
Pb 0.513 0.326 0.372
F 0.388 0.884 0.715
F 0.412 0.371 0.745
F 0.473 0.814 0.302
F 0.767 0.532 0.966
F 0.820 0.006 0.490
F 0.836 0.489 0.508

Properties
Total DFT energy (no corrections): -5.30 eV per atom
Symmetry: P1, No. 1